Entry from the Alexandria database: a relaxed BaNa2FeH8 crystal (PBE).

CIF file:
```
data_BaNa2FeH8
_chemical_formula_sum 'Ba1 Na2 Fe1 H8'
_cell_length_a 4.9302
_cell_length_b 4.9302
_cell_length_c 7.0937
_cell_angle_alpha 90.00
_cell_angle_beta 90.00
_cell_angle_gamma 120.00
_symmetry_space_group_name_H-M 'P -3 m 1'
_symmetry_Int_Tables_number 164
_symmetry_space_group_name_Hall '-P 3 2"'
loop_
_atom_site_label
_atom_site_type_symbol
_atom_site_fract_x
_atom_site_fract_y
_atom_site_fract_z
_atom_site_occupancy
Ba1 Ba 0.0000 0.0000 0.0000 1
Na1 Na 0.3333 0.6667 0.3662 1
Fe1 Fe 0.0000 0.0000 0.5000 1
H1 H 0.1494 0.2988 0.6337 1
H2 H 0.3333 0.6667 0.0508 1
```

Computed properties:
- Total DFT energy (no corrections): -0.1260 hartree per atom
- Calculated volume: 12.4 A^3/atom

Entry from the Alexandria database: a relaxed BaNb2FeH crystal (PBE).

CIF file:
```
data_BaNb2FeH
_chemical_formula_sum 'Ba1 Nb2 Fe1 H1'
_cell_length_a 4.474
_cell_length_b 4.474
_cell_length_c 6.974
_cell_angle_alpha 90.00
_cell_angle_beta 90.00
_cell_angle_gamma 90.00
_symmetry_space_group_name_H-M 'P 4/m m m'
_symmetry_Int_Tables_number 123
_symmetry_space_group_name_Hall '-P 4 2'
loop_
_atom_site_label
_atom_site_type_symbol
_atom_site_fract_x
_atom_site_fract_y
_atom_site_fract_z
_atom_site_occupancy
Ba1 Ba 0.000 0.000 0.000 1
Nb1 Nb 0.000 0.500 0.500 1
Fe1 Fe 0.000 0.000 0.500 1
H1 H 0.500 0.500 0.000 1
```

Computed properties:
- Total DFT energy (no corrections): -0.2107 hartree per atom
- Calculated volume: 27.9 A^3/atom